Record 1
CdAgOs | PBE | optimized geometry

```
CdAgOs
1.0
-1.670 -0.049 -2.304
2.153 -1.845 0.236
-4.400 -4.714 3.289
Cd Os Ag
1 1 1
direct
0.333 0.667 0.338
0.667 0.333 0.668
0.000 0.000 0.994
```

Offset from the most stable computed form, eV/atom: 0.000
Energy relative to the elements, eV/atom: 0.504



Record 2
CdAgOs | PBE | optimized geometry

```
CdAgOs
1.0
6.862 -0.013 0.000
5.726 3.780 0.000
-6.294 -1.884 1.980
Cd Ag Os
1 1 1
direct
0.329 0.329 0.000
0.005 0.005 0.000
0.666 0.666 0.000
```

Offset from the most stable computed form, eV/atom: 0.105
Energy relative to the elements, eV/atom: 0.608



Record 3
CdAg2Os | PBE | optimized geometry

```
CdAg2Os
1.0
-4.234 -2.533 -0.722
-1.270 -2.117 4.333
1.201 4.715 -1.093
Ag Cd Os
2 1 1
direct
0.000 0.000 0.000
0.250 0.750 0.500
0.500 0.500 0.000
0.750 0.250 0.500
```

Energy relative to the elements, eV/atom: 0.685



Record 4
CdAg2Os | PBE | optimized geometry

```
CdAg2Os
1.0
-0.540 -3.781 -1.699
2.469 1.026 -3.066
3.190 -1.400 2.101
Os Ag Cd
1 2 1
direct
0.500 0.000 0.500
0.000 0.000 0.000
0.000 0.500 0.500
0.500 0.500 0.000
```

Energy relative to the elements, eV/atom: 0.621



Record 5
Cd3AgOs | PBE | optimized geometry

```
Cd3AgOs
1.0
-1.413 4.735 1.566
-2.264 0.841 -4.587
-4.444 -1.934 1.839
Cd Os Ag
3 1 1
direct
0.000 0.500 0.000
0.000 0.000 0.500
0.500 0.000 0.000
0.000 0.000 0.000
0.500 0.500 0.500
```

Offset from the most stable computed form, eV/atom: 0.000
Energy relative to the elements, eV/atom: 0.919



Record 6
CdAg2Os | PBE | optimized geometry

```
CdAg2Os
1.0
5.231 -0.009 0.000
-2.099 4.791 0.000
0.000 0.000 2.741
Ag Cd Os
2 1 1
direct
0.000 0.000 0.000
0.500 0.500 0.000
0.500 0.000 0.500
0.000 0.500 0.500
```

Energy relative to the elements, eV/atom: 0.500



Record 7
CdAgOs4 | PBE | optimized geometry

```
CdAgOs4
1.0
0.000 3.701 3.701
3.701 0.000 3.701
3.701 3.701 0.000
Os Ag Cd
4 1 1
direct
0.375 0.375 0.875
0.375 0.375 0.375
0.375 0.875 0.375
0.875 0.375 0.375
0.750 0.750 0.750
0.000 0.000 0.000
```

Energy relative to the elements, eV/atom: 0.831



Record 8
Cd2AgOsRh | PBE | optimized geometry

```
Cd2AgOsRh
1.0
-3.783 -2.302 -2.475
1.722 -4.181 1.257
-2.821 0.106 4.214
Cd Os Rh Ag
2 1 1 1
direct
0.000 0.000 0.500
0.500 0.000 0.000
0.000 0.500 0.000
0.000 0.000 0.000
0.500 0.500 0.500
```

Energy relative to the elements, eV/atom: 1.055



Record 9
Sr2CdAgOs | PBE | optimized geometry

```
Sr2CdAgOs
1.0
-5.022 1.719 2.236
0.779 -3.002 4.057
2.680 4.331 2.690
Sr Cd Os Ag
2 1 1 1
direct
0.000 0.000 0.500
0.500 0.000 0.000
0.500 0.500 0.500
0.000 0.000 0.000
0.000 0.500 0.000
```

Energy relative to the elements, eV/atom: 0.555



Record 10
CdAgP2 | PBE | optimized geometry

```
CdAgP2
1.0
-2.503 -2.019 1.980
2.427 -2.890 0.122
2.102 1.962 4.657
P Ag Cd
2 1 1
direct
0.000 0.000 0.445
0.000 0.000 0.055
0.500 0.500 0.250
0.500 0.500 0.750
```

Energy relative to the elements, eV/atom: 0.305



Record 11
CdAgP2 | PBE | optimized geometry

```
CdAgP2
1.0
-3.666 3.608 -1.396
-4.668 -1.984 -1.636
3.205 -0.754 4.191
Ag Cd P
1 1 2
direct
0.500 0.500 0.000
0.750 0.250 0.500
0.250 0.750 0.500
0.000 0.000 0.000
```

Energy relative to the elements, eV/atom: 0.483



Record 12
CdAgP2 | PBE | optimized geometry

```
CdAgP2
1.0
-0.014 2.497 -1.919
0.908 -1.835 -2.394
-7.445 -1.391 -1.758
P Ag Cd
2 1 1
direct
0.000 0.000 0.177
0.500 0.500 0.081
0.000 0.000 0.499
0.500 0.500 0.743
```

Energy relative to the elements, eV/atom: 0.087



> What is the formula in the fifth record?

Cd3AgOs